(1)
A plane-wave DFT calculation with SCAN was carried out for Mn2ZnInGe at its PBEsol-relaxed geometry.

abc: 4.6372 4.6372 5.1325
angles: 90.00 90.00 90.00
Closest atoms and distances in Å follow each position.
Sites, in units of the cell vectors:
Mn 0.0000 0.5000 0.0000  2 Ge 2.32
Mn 0.5000 0.0000 0.0000  2 Ge 2.32
Zn 0.0000 0.0000 0.5000  4 In 3.28, 8 Mn 3.46
In 0.5000 0.5000 0.5000  2 Ge 2.57
Ge 0.5000 0.5000 0.0000  4 Mn 2.32, 2 In 2.57

Computed properties:
**SG**: P4/mmm, No. 123
**D(E_F)**: 2.44 states/eV per cell
**DFT formation energy**: 0.482 eV/atom
**Size of the total moment**: 8.23 μB per formula unit

***

(2)
A plane-wave DFT calculation with SCAN was carried out for CrP4O12 at its PBEsol-relaxed geometry.

abc: 12.6897 8.2814 8.9340
angles: 90.00 90.00 90.00
Closest atoms and distances in Å follow each position.
Sites, in units of the cell vectors:
Cr 0.0000 0.1441 0.2500  6 O 1.85-1.91
Cr 0.0000 0.8559 0.7500  6 O 1.85-1.91
Cr 0.5000 0.3559 0.7500  6 O 1.85-1.91
Cr 0.5000 0.6441 0.2500  6 O 1.85-1.91
P 0.1470 0.3149 0.0058  4 O 1.46-1.63
P 0.1470 0.6851 0.5058  4 O 1.46-1.63
P 0.1481 0.0400 0.5171  4 O 1.51-1.58
P 0.1481 0.9600 0.0171  4 O 1.51-1.58
P 0.3519 0.4600 0.0171  4 O 1.51-1.58
P 0.3519 0.5400 0.5171  4 O 1.51-1.58
P 0.3530 0.1851 0.5058  4 O 1.46-1.63
P 0.3530 0.8149 0.0058  4 O 1.46-1.63
P 0.6470 0.1851 0.9942  4 O 1.46-1.63
P 0.6470 0.8149 0.4942  4 O 1.46-1.63
P 0.6481 0.4600 0.4829  4 O 1.51-1.58
P 0.6481 0.5400 0.9829  4 O 1.51-1.58
P 0.8519 0.0400 0.9829  4 O 1.51-1.58
P 0.8519 0.9600 0.4829  4 O 1.51-1.58
P 0.8530 0.3149 0.4942  4 O 1.46-1.63
P 0.8530 0.6851 0.9942  4 O 1.46-1.63
O 0.0640 0.0255 0.6368  1 P 1.52
O 0.0640 0.9745 0.1368  1 P 1.52
O 0.0674 0.2966 0.1332  1 P 1.53
O 0.0674 0.7034 0.6332  1 P 1.53
O 0.1175 0.1411 0.3829  1 P 1.51
O 0.1175 0.8589 0.8829  1 P 1.51
O 0.1224 0.4098 0.8728  1 P 1.46
O 0.1224 0.5902 0.3728  1 P 1.46
O 0.1846 0.1325 0.9634  2 P 1.58-1.63
O 0.1846 0.8675 0.4634  2 P 1.58-1.63
O 0.2474 0.1215 0.5918  2 P 1.58-1.63
O 0.2474 0.8785 0.0918  2 P 1.58-1.63
O 0.2526 0.3785 0.0918  2 P 1.58-1.63
O 0.2526 0.6215 0.5918  2 P 1.58-1.63
O 0.3154 0.3675 0.4634  2 P 1.58-1.63
O 0.3154 0.6325 0.9634  2 P 1.58-1.63
O 0.3776 0.0902 0.3728  1 P 1.46
O 0.3776 0.9098 0.8728  1 P 1.46
O 0.3825 0.3589 0.8829  1 P 1.51
O 0.3825 0.6411 0.3829  1 P 1.51
O 0.4326 0.2034 0.6332  1 P 1.53
O 0.4326 0.7966 0.1332  1 P 1.53
O 0.4360 0.4745 0.1368  1 P 1.52
O 0.4360 0.5255 0.6368  1 P 1.52
O 0.5640 0.4745 0.3632  1 P 1.52
O 0.5640 0.5255 0.8632  1 P 1.52
O 0.5674 0.2034 0.8668  1 P 1.53
O 0.5674 0.7966 0.3668  1 P 1.53
O 0.6175 0.3589 0.6171  1 P 1.51
O 0.6175 0.6411 0.1171  1 P 1.51
O 0.6224 0.0902 0.1272  1 P 1.46
O 0.6224 0.9098 0.6272  1 P 1.46
O 0.6846 0.3675 0.0366  2 P 1.58-1.63
O 0.6846 0.6325 0.5366  2 P 1.58-1.63
O 0.7474 0.3785 0.4082  2 P 1.58-1.63
O 0.7474 0.6215 0.9082  2 P 1.58-1.63
O 0.7526 0.1215 0.9082  2 P 1.58-1.63
O 0.7526 0.8785 0.4082  2 P 1.58-1.63
O 0.8154 0.1325 0.5366  2 P 1.58-1.63
O 0.8154 0.8675 0.0366  2 P 1.58-1.63
O 0.8776 0.4098 0.6272  1 P 1.46
O 0.8776 0.5902 0.1272  1 P 1.46
O 0.8825 0.1411 0.1171  1 P 1.51
O 0.8825 0.8589 0.6171  1 P 1.51
O 0.9326 0.2966 0.3668  1 P 1.53
O 0.9326 0.7034 0.8668  1 P 1.53
O 0.9360 0.0255 0.8632  1 P 1.52
O 0.9360 0.9745 0.3632  1 P 1.52

Computed properties:
**SG**: Pbcn, No. 60
**D(E_F)**: 2.91 states/eV per cell
**Offset from the most stable computed form**: 0.066 eV/f.u.
**Size of the total moment**: 2.00 μB per formula unit

***

(3)
A plane-wave DFT calculation with SCAN was carried out for KLaRu2 at its PBEsol-relaxed geometry.

abc: 5.5695 5.5695 5.5695
angles: 146.36 124.33 66.64
Closest atoms and distances in Å follow each position.
Sites, in units of the cell vectors:
K 0.0000 0.0000 0.0000  8 Ru 3.04-3.33, 4 La 3.06, 2 K 3.22
La 0.5000 0.5000 0.0000  4 Ru 2.63
Ru 0.2767 0.7767 0.5000  2 La 2.63
Ru 0.7233 0.2233 0.5000  2 La 2.63

Computed properties:
**SG**: Immm, No. 71
**D(E_F)**: 3.24 states/eV per cell
**DFT formation energy**: 0.869 eV/atom
**Offset from the most stable computed form**: 2.084 eV/f.u.
**Size of the total moment**: 0.00 μB per formula unit

***

(4)
A plane-wave DFT calculation with SCAN was carried out for CaFeSe at its PBEsol-relaxed geometry.

abc: 4.0438 4.0438 4.0037
angles: 90.00 90.00 120.00
Closest atoms and distances in Å follow each position.
Sites, in units of the cell vectors:
Ca 0.0000 0.0000 0.0000  6 Fe 3.08, 6 Se 3.08
Fe 0.3333 0.6667 0.5000  3 Se 2.33
Se 0.6667 0.3333 0.5000  3 Fe 2.33

Computed properties:
**SG**: P-6m2, No. 187
**E**: -16.58 eV per atom
**D(E_F)**: 0.93 states/eV per cell
**Size of the total moment**: 2.05 μB per formula unit

***

(5)
A plane-wave DFT calculation with SCAN was carried out for SiMoP3O11 at its PBEsol-relaxed geometry.

abc: 14.2046 14.2046 14.2046
angles: 34.67 34.67 34.67
Closest atoms and distances in Å follow each position.
Sites, in units of the cell vectors:
Si 0.0397 0.0397 0.0397  4 O 1.59-1.63
Si 0.4603 0.4603 0.4603  4 O 1.59-1.63
Si 0.5397 0.5397 0.5397  4 O 1.59-1.63
Si 0.9603 0.9603 0.9603  4 O 1.59-1.63
Mo 0.1589 0.1589 0.1589  6 O 2.08-2.09
Mo 0.3411 0.3411 0.3411  6 O 2.08-2.09
Mo 0.6589 0.6589 0.6589  6 O 2.08-2.09
Mo 0.8411 0.8411 0.8411  6 O 2.08-2.09
P 0.0093 0.7164 0.4157  4 O 1.50-1.61
P 0.0843 0.7836 0.4907  4 O 1.50-1.61
P 0.2164 0.5093 0.9157  4 O 1.50-1.61
P 0.2836 0.5843 0.9907  4 O 1.50-1.61
P 0.4157 0.0093 0.7164  4 O 1.50-1.61
P 0.4907 0.0843 0.7836  4 O 1.50-1.61
P 0.5093 0.9157 0.2164  4 O 1.50-1.61
P 0.5843 0.9907 0.2836  4 O 1.50-1.61
P 0.7164 0.4157 0.0093  4 O 1.50-1.61
P 0.7836 0.4907 0.0843  4 O 1.50-1.61
P 0.9157 0.2164 0.5093  4 O 1.50-1.61
P 0.9907 0.2836 0.5843  4 O 1.50-1.61
O 0.0000 0.0000 0.0000  2 Si 1.59
O 0.0197 0.6527 0.9461  1 P 1.50
O 0.0353 0.2500 0.4647  2 P 1.61
O 0.0389 0.7193 0.6726  1 P 1.51
O 0.0539 0.9803 0.3473  1 P 1.50
O 0.0945 0.8549 0.2104  1 P 1.59, 1 Si 1.63
O 0.1451 0.7896 0.9055  1 P 1.59, 1 Si 1.63
O 0.1527 0.5197 0.4461  1 P 1.50
O 0.1726 0.2193 0.5389  1 P 1.51
O 0.2104 0.0945 0.8549  1 P 1.59, 1 Si 1.63
O 0.2193 0.5389 0.1726  1 P 1.51
O 0.2500 0.4647 0.0353  2 P 1.61
O 0.2807 0.3274 0.9611  1 P 1.51
O 0.2896 0.6451 0.4055  1 P 1.59, 1 Si 1.63
O 0.3274 0.9611 0.2807  1 P 1.51
O 0.3473 0.0539 0.9803  1 P 1.50
O 0.3549 0.5945 0.7104  1 P 1.59, 1 Si 1.63
O 0.4055 0.2896 0.6451  1 P 1.59, 1 Si 1.63
O 0.4461 0.1527 0.5197  1 P 1.50
O 0.4611 0.8274 0.7807  1 P 1.51
O 0.4647 0.0353 0.2500  2 P 1.61
O 0.4803 0.5539 0.8473  1 P 1.50
O 0.5000 0.5000 0.5000  2 Si 1.59
O 0.5197 0.4461 0.1527  1 P 1.50
O 0.5353 0.9647 0.7500  2 P 1.61
O 0.5389 0.1726 0.2193  1 P 1.51
O 0.5539 0.8473 0.4803  1 P 1.50
O 0.5945 0.7104 0.3549  1 P 1.59, 1 Si 1.63
O 0.6451 0.4055 0.2896  1 P 1.59, 1 Si 1.63
O 0.6527 0.9461 0.0197  1 P 1.50
O 0.6726 0.0389 0.7193  1 P 1.51
O 0.7104 0.3549 0.5945  1 P 1.59, 1 Si 1.63
O 0.7193 0.6726 0.0389  1 P 1.51
O 0.7500 0.5353 0.9647  2 P 1.61
O 0.7807 0.4611 0.8274  1 P 1.51
O 0.7896 0.9055 0.1451  1 P 1.59, 1 Si 1.63
O 0.8274 0.7807 0.4611  1 P 1.51
O 0.8473 0.4803 0.5539  1 P 1.50
O 0.8549 0.2104 0.0945  1 P 1.59, 1 Si 1.63
O 0.9055 0.1451 0.7896  1 P 1.59, 1 Si 1.63
O 0.9461 0.0197 0.6527  1 P 1.50
O 0.9611 0.2807 0.3274  1 P 1.51
O 0.9647 0.7500 0.5353  2 P 1.61
O 0.9803 0.3473 0.0539  1 P 1.50

Computed properties:
**SG**: R-3c, No. 167
**E**: -11.48 eV per atom
**D(E_F)**: 0.00 states/eV per cell
**Size of the total moment**: 3.00 μB per formula unit

***

(6)
A plane-wave DFT calculation with SCAN was carried out for Os2Ru at its PBEsol-relaxed geometry.

abc: 2.6911 2.6911 6.5860
angles: 90.00 90.00 120.00
Closest atoms and distances in Å follow each position.
Sites, in units of the cell vectors:
Os 0.3333 0.6667 0.1677  3 Ru 2.68, 9 Os 2.69-2.70
Os 0.6667 0.3333 0.8323  3 Ru 2.68, 9 Os 2.69-2.70
Ru 0.0000 0.0000 0.5000  6 Os 2.68, 6 Ru 2.69

Computed properties:
**SG**: P-3m1, No. 164
**D(E_F)**: 2.48 states/eV per cell
**DFT formation energy**: 0.141 eV/atom
**Offset from the most stable computed form**: 0.479 eV/f.u.
**Size of the total moment**: 0.00 μB per formula unit

***

(7)
A plane-wave DFT calculation with SCAN was carried out for BeCd2Hg at its PBEsol-relaxed geometry.

abc: 2.9587 2.9587 8.1766
angles: 90.00 90.00 90.00
Closest atoms and distances in Å follow each position.
Sites, in units of the cell vectors:
Be 0.0000 0.0000 0.0000  4 Hg 2.65, 4 Cd 2.71, 4 Be 2.96
Cd 0.0000 0.0000 0.5016  8 Cd 2.96-3.17, 4 Hg 3.22
Cd 0.5000 0.5000 0.2102  4 Be 2.71, 4 Cd 2.96
Hg 0.5000 0.5000 0.8006  4 Be 2.65, 4 Hg 2.96

Computed properties:
**SG**: P4mm, No. 99
**D(E_F)**: 1.39 states/eV per cell
**DFT formation energy**: 0.245 eV/atom
**Offset from the most stable computed form**: 0.109 eV/f.u.
**Size of the total moment**: 0.00 μB per formula unit

***

(8)
A plane-wave DFT calculation with SCAN was carried out for Si2AgTe at its PBEsol-relaxed geometry.

abc: 7.1499 7.1499 7.1499
angles: 131.32 131.32 71.31
Closest atoms and distances in Å follow each position.
Sites, in units of the cell vectors:
Si 0.0867 0.6250 0.9617  2 Ag 2.42, 2 Te 2.68
Si 0.3750 0.3367 0.4617  2 Ag 2.42, 2 Te 2.68
Si 0.6633 0.1250 0.0383  2 Ag 2.42, 2 Te 2.68
Si 0.8750 0.9133 0.5383  2 Ag 2.42, 2 Te 2.68
Ag 0.0000 0.0000 0.0000  4 Si 2.42
Ag 0.7500 0.2500 0.5000  4 Si 2.42
Te 0.2500 0.7500 0.5000  4 Si 2.68
Te 0.5000 0.5000 0.0000  4 Si 2.68

Computed properties:
**SG**: I-42d, No. 122
**D(E_F)**: 3.74 states/eV per cell
**Offset from the most stable computed form**: 0.271 eV/f.u.
**Size of the total moment**: 0.00 μB per formula unit

***

(9)
A plane-wave DFT calculation with SCAN was carried out for CrCoPb3 at its PBEsol-relaxed geometry.

abc: 5.0835 5.0835 5.0835
angles: 90.00 90.00 90.00
Closest atoms and distances in Å follow each position.
Sites, in units of the cell vectors:
Cr 0.0000 0.0000 0.0000  6 Pb 2.54
Co 0.5000 0.5000 0.5000  12 Pb 3.59
Pb 0.0000 0.0000 0.5000  2 Cr 2.54
Pb 0.0000 0.5000 0.0000  2 Cr 2.54
Pb 0.5000 0.0000 0.0000  2 Cr 2.54

Computed properties:
**SG**: Pm-3m, No. 221
**D(E_F)**: 4.50 states/eV per cell
**DFT formation energy**: 0.862 eV/atom
**Size of the total moment**: 4.42 μB per formula unit

***

(10)
A plane-wave DFT calculation with SCAN was carried out for ZnAg2Os at its PBEsol-relaxed geometry.

abc: 2.6671 3.9906 5.6883
angles: 90.00 90.00 90.00
Closest atoms and distances in Å follow each position.
Sites, in units of the cell vectors:
Zn 0.0000 0.0000 0.0000  2 Zn 2.67, 4 Os 2.68, 5 Ag 2.70-2.86
Ag 0.0000 0.0000 0.5254  6 Ag 2.67-2.80, 1 Zn 2.70, 4 Os 2.83
Ag 0.5000 0.5000 0.2719  6 Ag 2.67-2.80, 2 Os 2.75-2.94, 4 Zn 2.86
Os 0.5000 0.5000 0.7889  2 Os 2.67, 4 Zn 2.68, 6 Ag 2.75-2.94

Computed properties:
**SG**: Pmm2, No. 25
**D(E_F)**: 2.42 states/eV per cell
**DFT formation energy**: 0.419 eV/atom
**Size of the total moment**: 0.00 μB per formula unit

***

(11)
A plane-wave DFT calculation with SCAN was carried out for Sr2LiTl at its PBEsol-relaxed geometry.

abc: 7.6618 7.6618 7.6618
angles: 37.50 37.50 37.50
Closest atoms and distances in Å follow each position.
Sites, in units of the cell vectors:
Sr 0.0000 0.0000 0.0000  3 Li 3.42, 3 Tl 3.43
Sr 0.1800 0.1800 0.1800  3 Tl 3.44, 3 Li 3.44, 1 Sr 3.84
Li 0.4226 0.4226 0.4226  3 Tl 2.84
Tl 0.7564 0.7564 0.7564  3 Li 2.84

Computed properties:
**SG**: R3m, No. 160
**D(E_F)**: 3.35 states/eV per cell
**DFT formation energy**: -0.309 eV/atom
**Offset from the most stable computed form**: 0.242 eV/f.u.
**Size of the total moment**: 0.00 μB per formula unit

***

(12)
A plane-wave DFT calculation with SCAN was carried out for VCrCo at its PBEsol-relaxed geometry.

abc: 7.6168 4.5545 4.5545
angles: 60.72 90.00 90.00
Closest atoms and distances in Å follow each position.
Sites, in units of the cell vectors:
V 0.1834 0.0000 0.0000  7 Co 2.61-2.74, 5 Cr 2.69-2.73, 4 V 2.76-2.83
V 0.3086 0.3293 0.3293  5 Co 2.66-2.71, 7 Cr 2.69-2.73, 4 V 2.76-2.92
V 0.6914 0.3293 0.3293  5 Co 2.66-2.71, 7 Cr 2.69-2.73, 4 V 2.76-2.92
V 0.8166 0.0000 0.0000  7 Co 2.61-2.74, 5 Cr 2.69-2.73, 4 V 2.76-2.83
Cr 0.0000 0.5027 0.5027  6 Co 2.20-2.36
Cr 0.5000 0.3235 0.8364  4 Cr 2.20-2.36, 2 Co 2.38
Cr 0.5000 0.8364 0.3235  4 Cr 2.20-2.36, 2 Co 2.38
Cr 0.5000 0.8392 0.8392  4 Cr 2.20-2.35, 2 Co 2.36
Co 0.0000 0.0177 0.5087  2 Cr 2.20-2.36, 4 Co 2.26-2.34
Co 0.0000 0.5087 0.0177  2 Cr 2.20-2.36, 4 Co 2.26-2.34
Co 0.2445 0.6687 0.6687  4 Cr 2.27-2.38, 2 Co 2.32
Co 0.7555 0.6687 0.6687  4 Cr 2.27-2.38, 2 Co 2.32

Computed properties:
**SG**: Amm2, No. 38
**D(E_F)**: 14.37 states/eV per cell
**DFT formation energy**: 0.035 eV/atom
**Size of the total moment**: 0.00 μB per formula unit